Below is an optimized crystal structure of Y2CoSiO6, with properties calculated at the GGA+U level. Values from VASP.

SG: No. 14
Raw total energy: -162.34 eV per cell
M_tot: 0.3008 μB/atom

Quantum ESPRESSO input file:
```
&SYSTEM
  ibrav = 0, nat = 20, ntyp = 4
/
ATOMIC_SPECIES
O 16.00 O.upf
Y 88.91 Y.upf
Si 28.09 Si.upf
Co 58.93 Co.upf
CELL_PARAMETERS angstrom
5.241 0.000 0.001
0.000 5.525 0.000
0.045 0.000 7.458
ATOMIC_POSITIONS angstrom
O 1.163 0.991 3.383
O 1.479 3.754 0.347
Y 2.745 3.131 5.597
O 3.564 1.540 4.139
Y 0.103 5.156 1.868
O 4.732 2.937 1.727
Si 2.643 0.000 3.730
O 2.134 5.350 5.455
O 4.122 4.533 4.076
O 1.721 3.984 3.320
Y 2.540 2.394 1.862
O 0.553 2.588 5.732
Co 2.620 0.000 0.001
Si 0.000 2.762 0.000
O 4.364 4.303 7.049
O 0.921 1.222 0.410
Co 0.022 2.762 3.729
O 3.806 1.771 7.112
O 3.151 0.174 2.004
Y 5.182 0.369 5.591
```